Record 1
DFT (PBE-GGA) results for a relaxed Th6TlRh crystal.

Unit cell a=6.542 b=6.542 c=6.542 alpha=102.52 beta=102.52 gamma=102.52
Element x y z (fractional)
Th 0.200 0.200 0.607
Th 0.200 0.607 0.200
Th 0.393 0.800 0.800
Th 0.607 0.200 0.200
Th 0.800 0.393 0.800
Th 0.800 0.800 0.393
Tl 0.000 0.000 0.000
Rh 0.500 0.500 0.500

Properties
formation energy from the elements	0.00	eV/atom
calculated density	11.0	g/cm3



Record 2
DFT (PBE-GGA) results for a relaxed Th11Tl9Rh4 crystal.

Unit cell a=13.605 b=13.605 c=3.821 alpha=90.00 beta=90.00 gamma=112.77
Element x y z (fractional)
Th 0.000 0.000 0.000
Th 0.079 0.417 0.000
Th 0.156 0.844 0.000
Th 0.312 0.312 0.000
Th 0.373 0.627 0.000
Th 0.417 0.079 0.000
Th 0.583 0.921 0.000
Th 0.627 0.373 0.000
Th 0.688 0.688 0.000
Th 0.844 0.156 0.000
Th 0.921 0.583 0.000
Tl 0.075 0.218 0.500
Tl 0.154 0.636 0.500
Tl 0.218 0.075 0.500
Tl 0.364 0.846 0.500
Tl 0.500 0.500 0.500
Tl 0.636 0.154 0.500
Tl 0.782 0.925 0.500
Tl 0.846 0.364 0.500
Tl 0.925 0.782 0.500
Rh 0.248 0.449 0.500
Rh 0.449 0.248 0.500
Rh 0.551 0.752 0.500
Rh 0.752 0.551 0.500

Properties
formation energy from the elements	-0.41	eV/atom
calculated density	12.2	g/cm3



Record 3
DFT (PBE-GGA) results for a relaxed Th3TlRh crystal.

Unit cell a=6.027 b=7.140 c=7.237 alpha=90.00 beta=113.03 gamma=90.00
Element x y z (fractional)
Th 0.016 0.250 0.332
Th 0.443 0.521 0.211
Th 0.443 0.979 0.211
Th 0.557 0.021 0.789
Th 0.557 0.479 0.789
Th 0.984 0.750 0.668
Tl 0.089 0.250 0.841
Tl 0.911 0.750 0.159
Rh 0.347 0.750 0.503
Rh 0.653 0.250 0.497

Properties
formation energy from the elements	-0.30	eV/atom
calculated density	11.6	g/cm3



Record 4
DFT (PBE-GGA) results for a relaxed TmThTlRh crystal.

Unit cell a=7.346 b=7.346 c=7.346 alpha=90.00 beta=90.00 gamma=90.00
Element x y z (fractional)
Tm 0.000 0.000 0.000
Tm 0.000 0.500 0.500
Tm 0.500 0.000 0.500
Tm 0.500 0.500 0.000
Th 0.000 0.000 0.500
Th 0.000 0.500 0.000
Th 0.500 0.000 0.000
Th 0.500 0.500 0.500
Tl 0.250 0.250 0.250
Tl 0.250 0.750 0.750
Tl 0.750 0.250 0.750
Tl 0.750 0.750 0.250
Rh 0.250 0.250 0.750
Rh 0.250 0.750 0.250
Rh 0.750 0.250 0.250
Rh 0.750 0.750 0.750

Properties
formation energy from the elements	-0.36	eV/atom
calculated density	11.9	g/cm3



Record 5
DFT (PBE-GGA) results for a relaxed YThTlRh crystal.

Unit cell a=7.391 b=7.391 c=7.391 alpha=90.00 beta=90.00 gamma=90.00
Element x y z (fractional)
Y 0.000 0.000 0.000
Y 0.000 0.500 0.500
Y 0.500 0.000 0.500
Y 0.500 0.500 0.000
Th 0.000 0.000 0.500
Th 0.000 0.500 0.000
Th 0.500 0.000 0.000
Th 0.500 0.500 0.500
Tl 0.250 0.250 0.250
Tl 0.250 0.750 0.750
Tl 0.750 0.250 0.750
Tl 0.750 0.750 0.250
Rh 0.250 0.250 0.750
Rh 0.250 0.750 0.250
Rh 0.750 0.250 0.250
Rh 0.750 0.750 0.750

Properties
formation energy from the elements	-0.35	eV/atom
calculated density	10.3	g/cm3



Record 6
DFT (PBE-GGA) results for a relaxed YThTlRh crystal.

Unit cell a=6.917 b=4.011 c=8.543 alpha=90.00 beta=105.69 gamma=90.00
Element x y z (fractional)
Y 0.000 0.000 0.000
Y 0.500 0.500 0.000
Th 0.202 0.000 0.609
Th 0.702 0.500 0.609
Tl 0.264 0.500 0.296
Tl 0.764 0.000 0.296
Rh 0.098 0.500 0.796
Rh 0.598 0.000 0.796

Properties
formation energy from the elements	-0.50	eV/atom
calculated density	9.1	g/cm3



Record 7
DFT (PBE-GGA) results for a relaxed Th2TlZnRh crystal.

Unit cell a=7.786 b=4.330 c=7.808 alpha=90.00 beta=108.66 gamma=90.00
Element x y z (fractional)
Th 0.021 0.250 0.208
Th 0.344 0.750 0.607
Th 0.656 0.250 0.393
Th 0.979 0.750 0.792
Tl 0.335 0.750 0.174
Tl 0.665 0.250 0.826
Zn 0.339 0.250 0.940
Zn 0.661 0.750 0.060
Rh 0.099 0.250 0.615
Rh 0.901 0.750 0.385

Properties
formation energy from the elements	-0.43	eV/atom
calculated density	11.1	g/cm3



Record 8
DFT (PBE-GGA) results for a relaxed TmTh2Rh2 crystal.

Unit cell a=7.808 b=7.808 c=3.924 alpha=90.00 beta=90.00 gamma=90.00
Element x y z (fractional)
Tm 0.000 0.000 0.000
Tm 0.500 0.500 0.000
Th 0.168 0.332 0.500
Th 0.332 0.832 0.500
Th 0.668 0.168 0.500
Th 0.832 0.668 0.500
Rh 0.136 0.636 0.000
Rh 0.364 0.136 0.000
Rh 0.636 0.864 0.000
Rh 0.864 0.364 0.000

Properties
formation energy from the elements	-0.77	eV/atom
calculated density	11.6	g/cm3